[1]
The following is a PBE-GGA calculation of a relaxed structure of GdHoBiAu, from Alexandria via LeMat-Bulk.

Values from the calculation:
The value obtained for the density is 11469 kg/m³. For the calculated formation energy, the calculation gives -0.67 eV per atom. Its total energy is -7.13 eV/atom.

a b c (Å): 7.4989 7.4989 7.4989
angles (deg): 90.00 90.00 90.00
Last column: nearest neighbours and their distance in Å.
Space group F-43m (No. 216)
Asymmetric unit:
Gd (0.0000, 0.0000, 0.0000)  4 Bi 3.25, 4 Au 3.25
Ho (0.0000, 0.0000, 0.5000)  4 Au 3.25, 4 Bi 3.25
Bi (0.2500, 0.2500, 0.2500)  4 Ho 3.25, 4 Gd 3.25
Au (0.2500, 0.2500, 0.7500)  4 Gd 3.25, 4 Ho 3.25

[2]
The following is a PBE-GGA calculation of a relaxed structure of GdInBiAu, from Alexandria via LeMat-Bulk.

Values from the calculation:
The value obtained for the density is 10668 kg/m³. For the calculated formation energy, the calculation gives -0.38 eV per atom. Its total energy is -6.37 eV/atom.

a b c (Å): 7.5015 7.5015 7.5015
angles (deg): 90.00 90.00 90.00
Last column: nearest neighbours and their distance in Å.
Space group F-43m (No. 216)
Asymmetric unit:
Gd (0.0000, 0.0000, 0.0000)  4 Bi 3.25, 4 Au 3.25
In (0.0000, 0.0000, 0.5000)  4 Bi 3.25, 4 Au 3.25
Bi (0.2500, 0.2500, 0.7500)  4 Gd 3.25, 4 In 3.25
Au (0.2500, 0.2500, 0.2500)  4 In 3.25, 4 Gd 3.25

[3]
The following is a PBE-GGA calculation of a relaxed structure of KGdBiAu, from Alexandria via LeMat-Bulk.

Values from the calculation:
The value obtained for the density is 8569 kg/m³. For the calculated formation energy, the calculation gives -0.48 eV per atom. Its total energy is -6.06 eV/atom.

a b c (Å): 7.7577 7.7577 7.7577
angles (deg): 90.00 90.00 90.00
Last column: nearest neighbours and their distance in Å.
Space group F-43m (No. 216)
Asymmetric unit:
K (0.0000, 0.0000, 0.0000)  4 Au 3.36, 4 Bi 3.36
Gd (0.0000, 0.0000, 0.5000)  4 Bi 3.36, 4 Au 3.36
Bi (0.2500, 0.2500, 0.2500)  4 K 3.36, 4 Gd 3.36
Au (0.2500, 0.2500, 0.7500)  4 Gd 3.36, 4 K 3.36

Repeat the first record exactly.
The following is a PBE-GGA calculation of a relaxed structure of GdHoBiAu, from Alexandria via LeMat-Bulk.

Values from the calculation:
The value obtained for the density is 11469 kg/m³. For the calculated formation energy, the calculation gives -0.67 eV per atom. Its total energy is -7.13 eV/atom.

a b c (Å): 7.4989 7.4989 7.4989
angles (deg): 90.00 90.00 90.00
Last column: nearest neighbours and their distance in Å.
Space group F-43m (No. 216)
Asymmetric unit:
Gd (0.0000, 0.0000, 0.0000)  4 Bi 3.25, 4 Au 3.25
Ho (0.0000, 0.0000, 0.5000)  4 Au 3.25, 4 Bi 3.25
Bi (0.2500, 0.2500, 0.2500)  4 Ho 3.25, 4 Gd 3.25
Au (0.2500, 0.2500, 0.7500)  4 Gd 3.25, 4 Ho 3.25

- Among the records above, which one has the lowest density?
  KGdBiAu

- Among the records above, which one has the highest calculated formation energy?
  GdInBiAu

- The lowest density belongs to which entry?
  KGdBiAu